1.
ZrSi2Se6 | GGA-PBE | optimized geometry

a b c (Å): 6.626 8.623 8.623
angles (deg): 85.15 81.03 81.03
Atoms (fractional coordinates):
Se 0.359 0.401 0.879
Se 0.633 0.960 0.816
Se 0.367 0.040 0.184
Si 0.183 0.626 0.774
Zr 0.250 0.127 0.873
Se 0.133 0.816 0.960
Si 0.817 0.374 0.226
Si 0.317 0.226 0.374
Se 0.111 0.449 0.290
Zr 0.750 0.873 0.127
Se 0.867 0.184 0.040
Si 0.683 0.774 0.626
Se 0.389 0.710 0.551
Se 0.641 0.599 0.121
Se 0.611 0.290 0.449
Se 0.859 0.879 0.401
Se 0.141 0.121 0.599
Se 0.889 0.551 0.710

Calculated values
Magnetization = 0.0 μB per cell
Formation energy from raw total energies = -0.61 eV/atom
Space group = C2/c, No. 15
Theoretical density = 4.30 Mg/m³
V = 479.8 Å³ per cell


2.
ZrSi2Se | GGA-PBE | optimized geometry

a b c (Å): 7.960 7.960 7.960
angles (deg): 24.01 24.01 24.01
Atoms (fractional coordinates):
Se 0.750 0.750 0.750
Si 0.493 0.493 0.493
Si 0.007 0.007 0.007
Zr 0.250 0.250 0.250

Calculated values
Fermi-level density of states = 3.37 states/eV per cell
Magnetization = 0.0 μB per cell
Formation energy from raw total energies = 0.05 eV/atom
Space group = R-3m, No. 166
Theoretical density = 5.12 Mg/m³
V = 73.4 Å³ per cell


3.
Zr2Si2Se | GGA-PBE | optimized geometry

a b c (Å): 7.259 7.259 3.701
angles (deg): 90.00 90.00 90.00
Atoms (fractional coordinates):
Zr 0.178 0.322 0.000
Se 0.000 0.000 0.000
Si 0.885 0.385 0.500
Zr 0.678 0.178 0.000
Zr 0.822 0.678 0.000
Si 0.615 0.885 0.500
Si 0.115 0.615 0.500
Se 0.500 0.500 0.000
Si 0.385 0.115 0.500
Zr 0.322 0.822 0.000

Calculated values
Fermi-level density of states = 4.19 states/eV per cell
Magnetization = 0.0 μB per cell
Formation energy from raw total energies = -0.71 eV/atom
Space group = P4/mbm, No. 127
Theoretical density = 5.41 Mg/m³
V = 195.0 Å³ per cell
Energy above the most stable polymorph in this dataset = 66 meV per atom


4.
ZrSi2Se | GGA-PBE | optimized geometry

a b c (Å): 7.253 7.253 7.253
angles (deg): 29.90 29.90 29.90
Atoms (fractional coordinates):
Si 0.970 0.970 0.970
Se 0.762 0.762 0.762
Zr 0.508 0.508 0.508
Si 0.260 0.260 0.260

Calculated values
Fermi-level density of states = 1.04 states/eV per cell
Magnetization = 0.0 μB per cell
Formation energy from raw total energies = -0.50 eV/atom
Space group = R3m, No. 160
Theoretical density = 4.48 Mg/m³
V = 84.0 Å³ per cell


5.
ZrSiSe | GGA-PBE | optimized geometry

a b c (Å): 4.475 4.475 4.475
angles (deg): 60.00 60.00 60.00
Atoms (fractional coordinates):
Si 0.000 0.000 0.000
Zr 0.500 0.500 0.500
Se 0.750 0.750 0.750

Calculated values
Fermi-level density of states = 2.29 states/eV per cell
Magnetization = 0.0 μB per cell
Formation energy from raw total energies = -0.02 eV/atom
Space group = F-43m, No. 216
Theoretical density = 5.20 Mg/m³
V = 63.4 Å³ per cell
Energy above the most stable polymorph in this dataset = 1060 meV per atom


6.
ZrSiSe | GGA-PBE | optimized geometry

a b c (Å): 7.201 3.631 9.977
angles (deg): 90.00 116.20 90.00
Atoms (fractional coordinates):
Si 0.105 0.500 0.079
Si 0.105 0.000 0.579
Se 0.142 0.500 0.856
Si 0.860 0.500 0.491
Si 0.860 0.000 0.991
Se 0.508 0.500 0.660
Zr 0.810 0.000 0.689
Zr 0.810 0.500 0.189
Se 0.508 0.000 0.160
Zr 0.442 0.000 0.860
Zr 0.442 0.500 0.360
Se 0.142 0.000 0.356

Calculated values
Fermi-level density of states = 1.48 states/eV per cell
Magnetization = 0.0 μB per cell
Formation energy from raw total energies = -0.76 eV/atom
Space group = Cm, No. 8
Theoretical density = 5.63 Mg/m³
V = 234.0 Å³ per cell
Energy above the most stable polymorph in this dataset = 315 meV per atom


7.
ZrSi2Se | GGA-PBE | optimized geometry

a b c (Å): 4.701 4.701 4.701
angles (deg): 60.00 60.00 60.00
Atoms (fractional coordinates):
Se 0.500 0.500 0.500
Zr 0.750 0.750 0.750
Si 0.250 0.250 0.250
Si 0.000 0.000 0.000

Calculated values
Fermi-level density of states = 4.70 states/eV per cell
Magnetization = 0.0 μB per cell
Formation energy from raw total energies = 0.10 eV/atom
Space group = F-43m, No. 216
Theoretical density = 5.12 Mg/m³
V = 73.4 Å³ per cell


8.
ZrSiSe | GGA-PBE | optimized geometry

a b c (Å): 7.108 3.517 9.474
angles (deg): 90.00 112.94 90.00
Atoms (fractional coordinates):
Se 0.322 0.000 0.652
Si 0.864 0.000 0.676
Si 0.864 0.500 0.176
Se 0.678 0.000 0.348
Si 0.136 0.000 0.324
Zr 0.500 0.000 0.000
Zr 0.500 0.500 0.500
Si 0.136 0.500 0.824
Zr 0.000 0.000 0.000
Se 0.322 0.500 0.152
Se 0.678 0.500 0.848
Zr 0.000 0.500 0.500

Calculated values
Fermi-level density of states = 5.36 states/eV per cell
Magnetization = 0.0 μB per cell
Formation energy from raw total energies = -0.69 eV/atom
Space group = C2/m, No. 12
Theoretical density = 6.04 Mg/m³
V = 218.1 Å³ per cell
Energy above the most stable polymorph in this dataset = 383 meV per atom